(1)
VASP calculation (PBE) on an optimized crystal structure of TcP2.

* space-group type: I4/mcm, No. 140
* Fermi-level density of states: 3.312 states/eV per cell
* energy relative to the elements: -0.24 eV per atom
* energy: -7.305 eV per atom
* energy relative to the lowest polymorph listed for this composition: 149 meV per atom

```
data_TcP2
_cell_length_a 4.784
_cell_length_b 4.784
_cell_length_c 4.784
_cell_angle_alpha 110.41
_cell_angle_beta 110.41
_cell_angle_gamma 107.61
_space_group_name_H-M_alt 'P 1'
_space_group_IT_number 1
loop_
_space_group_symop_operation_xyz
'x,y,z'
loop_
_atom_site_label
_atom_site_type_symbol
_atom_site_fract_x
_atom_site_fract_y
_atom_site_fract_z
_atom_site_occupancy
Tc1 Tc 0.250 0.250 0.000 1
Tc2 Tc 0.750 0.750 0.000 1
P1 P 0.147 0.647 0.793 1
P2 P 0.353 0.147 0.500 1
P3 P 0.647 0.853 0.500 1
P4 P 0.853 0.353 0.207 1
```

(2)
VASP calculation (PBE) on an optimized crystal structure of TcP.

* space-group type: P6_3/mmc, No. 194
* Fermi-level density of states: 3.193 states/eV per cell
* energy relative to the elements: -0.03 eV per atom
* energy: -7.918 eV per atom
* energy relative to the lowest polymorph listed for this composition: 539 meV per atom

```
data_TcP
_cell_length_a 4.003
_cell_length_b 4.003
_cell_length_c 4.890
_cell_angle_alpha 90.00
_cell_angle_beta 90.00
_cell_angle_gamma 120.00
_space_group_name_H-M_alt 'P 1'
_space_group_IT_number 1
loop_
_space_group_symop_operation_xyz
'x,y,z'
loop_
_atom_site_label
_atom_site_type_symbol
_atom_site_fract_x
_atom_site_fract_y
_atom_site_fract_z
_atom_site_occupancy
Tc1 Tc 0.333 0.667 0.250 1
Tc2 Tc 0.667 0.333 0.750 1
P1 P 0.333 0.667 0.750 1
P2 P 0.667 0.333 0.250 1
```

(3)
VASP calculation (PBE) on an optimized crystal structure of TcP2.

* space-group type: P6_3/mmc, No. 194
* Fermi-level density of states: 8.119 states/eV per cell
* energy relative to the elements: 0.22 eV per atom
* energy: -6.847 eV per atom
* energy relative to the lowest polymorph listed for this composition: 607 meV per atom

```
data_TcP2
_cell_length_a 4.520
_cell_length_b 4.520
_cell_length_c 10.504
_cell_angle_alpha 90.00
_cell_angle_beta 90.00
_cell_angle_gamma 120.00
_space_group_name_H-M_alt 'P 1'
_space_group_IT_number 1
loop_
_space_group_symop_operation_xyz
'x,y,z'
loop_
_atom_site_label
_atom_site_type_symbol
_atom_site_fract_x
_atom_site_fract_y
_atom_site_fract_z
_atom_site_occupancy
Tc1 Tc 0.333 0.667 0.063 1
Tc2 Tc 0.333 0.667 0.437 1
Tc3 Tc 0.667 0.333 0.563 1
Tc4 Tc 0.667 0.333 0.937 1
P1 P 0.000 0.000 0.000 1
P2 P 0.000 0.000 0.500 1
P3 P 0.160 0.320 0.250 1
P4 P 0.160 0.840 0.250 1
P5 P 0.320 0.160 0.750 1
P6 P 0.680 0.840 0.250 1
P7 P 0.840 0.160 0.750 1
P8 P 0.840 0.680 0.750 1
```

(4)
VASP calculation (PBE) on an optimized crystal structure of TcP5.

* space-group type: P-62m, No. 189
* Fermi-level density of states: 2.482 states/eV per cell
* energy relative to the elements: 0.43 eV per atom
* energy: -5.810 eV per atom
* energy relative to the lowest polymorph listed for this composition: 355 meV per atom

```
data_TcP5
_cell_length_a 4.680
_cell_length_b 4.680
_cell_length_c 4.612
_cell_angle_alpha 90.00
_cell_angle_beta 90.00
_cell_angle_gamma 120.00
_space_group_name_H-M_alt 'P 1'
_space_group_IT_number 1
loop_
_space_group_symop_operation_xyz
'x,y,z'
loop_
_atom_site_label
_atom_site_type_symbol
_atom_site_fract_x
_atom_site_fract_y
_atom_site_fract_z
_atom_site_occupancy
Tc1 Tc 0.000 0.000 0.000 1
P1 P 0.000 0.720 0.500 1
P2 P 0.280 0.280 0.500 1
P3 P 0.333 0.667 0.000 1
P4 P 0.667 0.333 0.000 1
P5 P 0.720 0.000 0.500 1
```